a | Pr5Y3Tm | PBE | optimized geometry

## Properties
Magnetic moment, Bohr magnetons per cell: 0.0

a b c (Å): 20.2793 6.3484 11.8347
angles (deg): 90.00 122.73 90.00
With the nearest neighbours (Å) after each atom.
Space group C2/c (No. 15)
Symmetry-distinct sites (fractional):
Pr  0.0000  0.0886  0.2500  2 Tm 3.11-3.23
Pr  0.1387  0.1733  0.6627  2 Y 3.17-3.55
Pr  0.1796  0.3197  0.3320  4 Y 3.48-3.81, 5 Pr 3.53-3.65, 1 Tm 3.67
Y  0.0000  0.5000  0.0000  2 Tm 3.02, 2 Pr 3.17
Y  0.1746  0.2745  0.0245  1 Tm 3.36, 2 Y 3.42-3.68, 4 Pr 3.48-3.60
Tm  0.0000  0.4019  0.7500  4 Y 3.02-3.36, 2 Pr 3.11-3.23

***

b | Pr5Y3Tm | PBE | optimized geometry

## Properties
Magnetic moment, Bohr magnetons per cell: 0.0

a b c (Å): 15.4110 11.8226 9.9590
angles (deg): 90.00 129.48 90.00
With the nearest neighbours (Å) after each atom.
Space group C2/m (No. 12)
Symmetry-distinct sites (fractional):
Pr  0.0000  0.2477  0.0000  1 Y 2.98
Pr  0.1490  0.2470  0.7368  2 Pr 3.40-3.46, 2 Y 3.53-3.64
Pr  0.2255  0.5000  0.0482  3 Y 3.19-3.46, 1 Tm 3.33, 3 Pr 3.34-3.40
Pr  0.2286  0.0000  0.2378  3 Y 3.27-3.44, 3 Pr 3.34-3.46, 1 Tm 3.36
Y  0.0000  0.0000  0.5000  2 Y 3.17, 2 Tm 3.32, 4 Pr 3.53
Y  0.0000  0.5000  0.0000  4 Pr 2.98-3.19
Y  0.0073  0.0000  0.8251  1 Y 3.17, 5 Pr 3.27-3.46, 1 Tm 3.47
Y  0.0144  0.5000  0.3517  2 Y 3.25-3.37, 4 Pr 3.29-3.64, 1 Tm 3.33
Tm  0.2486  0.0000  0.5935  4 Y 3.32-3.47, 2 Pr 3.33-3.36

***

a takes first place; second place is 221 meV per atom up.

***

a | Pr2Y6Tm | PBE | optimized geometry

## Properties
Magnetic moment, Bohr magnetons per cell: 0.0

a b c (Å): 9.8368 17.1888 6.9720
angles (deg): 90.00 90.00 90.00
With the nearest neighbours (Å) after each atom.
Space group Ibam (No. 72)
Symmetry-distinct sites (fractional):
Pr  0.0000  0.1671  0.2500  2 Pr 3.49, 12 Y 3.67-3.83
Y  0.1639  0.3297  0.0000  5 Y 3.26-3.49
Y  0.1680  0.3404  0.5000  5 Y 3.27-3.49, 2 Tm 3.65
Y  0.1696  0.0062  0.5000  5 Y 3.26-3.49
Tm  0.0000  0.5000  0.2500  2 Tm 3.49, 12 Y 3.65-3.77

***

b | Pr2Y6Tm | PBE | optimized geometry

## Properties
Magnetic moment, Bohr magnetons per cell: 0.0

a b c (Å): 16.6266 11.7021 6.1136
angles (deg): 90.00 96.91 90.00
With the nearest neighbours (Å) after each atom.
Space group C2/c (No. 15)
Symmetry-distinct sites (fractional):
Pr  0.1686  0.1036  0.0731  10 Y 3.43-3.82
Y  0.0486  0.1389  0.5132  4 Y 3.32-3.63, 3 Pr 3.46-3.61, 1 Tm 3.51
Y  0.1124  0.3623  0.8219  4 Y 3.32-3.55, 2 Tm 3.35-3.42, 2 Pr 3.47-3.64
Y  0.2093  0.3672  0.3588  4 Y 3.42-3.55, 4 Pr 3.43-3.82, 1 Tm 3.48
Tm  0.0000  0.4004  0.2500  8 Y 3.35-3.51

***

a takes first place; second place is 26 meV per atom up.

***

a | PrY8Tm6 | PBE | optimized geometry

## Properties
Magnetic moment, Bohr magnetons per cell: 0.0

a b c (Å): 9.5685 9.5685 18.1983
angles (deg): 90.00 90.00 120.00
With the nearest neighbours (Å) after each atom.
Space group R-3 (No. 148, hexagonal axes)
Symmetry-distinct sites (fractional):
Pr  0.0000  0.0000  0.0000  6 Tm 3.38
Y  0.0000  0.0000  0.4177  1 Y 3.00, 3 Tm 3.09
Y  0.0545  0.2467  0.1715  4 Tm 3.32-3.71, 3 Y 3.55-3.72
Tm  0.0343  0.2790  0.6807  3 Y 3.09-3.45, 1 Pr 3.38, 3 Tm 3.38-3.40

***

b | PrY8Tm6 | PBE | optimized geometry

## Properties
Magnetic moment, Bohr magnetons per cell: 0.0

a b c (Å): 9.3932 9.3932 6.5274
angles (deg): 90.00 90.00 120.00
With the nearest neighbours (Å) after each atom.
Space group P-3 (No. 147)
Symmetry-distinct sites (fractional):
Pr  0.0000  0.0000  0.0000  6 Tm 3.58
Y  0.0284  0.6879  0.5978  4 Tm 3.20-3.55, 5 Y 3.33-3.54
Y  0.3333  0.6667  0.3197  6 Y 3.41-3.48, 3 Tm 3.55
Tm  0.0919  0.4136  0.9080  1 Tm 3.14, 3 Y 3.20-3.47

***

a takes first place; second place is 48 meV per atom up.

***

a | Pr4Y8Tm3 | PBE | optimized geometry

## Properties
Magnetic moment, Bohr magnetons per cell: 1.5

a b c (Å): 13.5237 12.9016 6.7945
angles (deg): 90.00 120.00 90.00
With the nearest neighbours (Å) after each atom.
Space group C2/m (No. 12)
Symmetry-distinct sites (fractional):
Pr  0.0000  0.0000  0.0000  6 Y 3.29-3.56, 2 Pr 3.40
Pr  0.0000  0.0000  0.5000  2 Pr 3.40, 4 Y 3.57-3.67
Pr  0.2500  0.2500  0.0000  4 Y 3.24-3.38, 2 Tm 3.40
Y  0.0000  0.2550  0.0000  3 Tm 3.16-3.39, 3 Pr 3.29-3.38
Y  0.0000  0.3607  0.5000  7 Y 3.59-3.67, 4 Tm 3.67-3.84, 2 Pr 3.68
Y  0.2282  0.5000  0.9613  1 Tm 3.23, 3 Pr 3.24-3.55, 4 Y 3.27-3.59
Y  0.2327  0.5000  0.4850  3 Tm 3.22-3.23, 2 Y 3.27-3.53, 2 Pr 3.56-3.57
Tm  0.0000  0.5000  0.0000  6 Y 3.16-3.23
Tm  0.2500  0.2500  0.5000  4 Y 3.23-3.39, 2 Pr 3.40

***

b | Pr4Y8Tm3 | PBE | optimized geometry

## Properties
Magnetic moment, Bohr magnetons per cell: 0.0

a b c (Å): 6.9987 6.9987 35.6529
angles (deg): 90.00 90.00 120.00
With the nearest neighbours (Å) after each atom.
Space group R-3m (No. 166, hexagonal axes)
Symmetry-distinct sites (fractional):
Pr  0.0000  0.0000  0.0000  6 Tm 3.50, 6 Y 3.56
Pr  0.0000  0.0000  0.1639  4 Y 3.28-3.56
Pr  0.0000  0.0000  0.5000  6 Y 3.63, 6 Pr 4.04
Y  0.0000  0.0000  0.2559  1 Pr 3.28, 3 Tm 3.42, 6 Y 3.50
Y  0.0021  0.5010  0.2513  6 Y 3.48-3.52, 2 Tm 3.55, 3 Pr 3.56-3.63
Tm  0.0000  0.5000  0.0000  6 Y 3.42-3.55, 2 Pr 3.50, 4 Tm 3.50

***

b takes first place; second place is 241 meV per atom up.

***

a | Pr3YTm | PBE | optimized geometry

## Properties
Magnetic moment, Bohr magnetons per cell: 0.0

a b c (Å): 13.2759 13.4021 7.7378
angles (deg): 90.00 90.00 90.00
With the nearest neighbours (Å) after each atom.
Space group Cmce (No. 64)
Symmetry-distinct sites (fractional):
Pr  0.0000  0.1013  0.1073  5 Pr 3.18-3.46, 1 Tm 3.37
Pr  0.1497  0.2404  0.3837  4 Pr 3.23-3.46, 2 Tm 3.34-3.54
Y  0.2500  0.0116  0.7500  2 Tm 3.64, 6 Pr 3.73-3.81, 2 Y 3.88
Tm  0.0000  0.0981  0.6280  1 Tm 3.29, 5 Pr 3.34-3.54, 2 Y 3.64

***

b | Pr3YTm | PBE | optimized geometry

## Properties
Magnetic moment, Bohr magnetons per cell: 0.0

a b c (Å): 3.7132 11.3955 16.8936
angles (deg): 80.54 83.77 80.64
With the nearest neighbours (Å) after each atom.
Space group P-1 (No. 2)
Symmetry-distinct sites (fractional):
Pr  0.0649  0.3503  0.0209  9 Pr 3.34-3.73, 2 Y 3.60-3.62
Pr  0.1338  0.7774  0.4550  5 Pr 3.43-3.71, 2 Tm 3.54-3.55, 2 Y 3.73
Pr  0.1375  0.9547  0.2699  3 Y 3.38-3.48, 3 Tm 3.41-3.57, 5 Pr 3.43-3.71
Pr  0.3241  0.4463  0.4031  2 Y 3.69, 8 Pr 3.70-4.08, 3 Tm 3.72-4.11
Pr  0.3659  0.8895  0.8828  6 Pr 3.43-3.71, 3 Y 3.53-3.64, 2 Tm 3.80
Pr  0.4130  0.5131  0.1630  2 Tm 3.52-3.53, 3 Y 3.52-3.68, 6 Pr 3.71-3.73
Y  0.2360  0.3088  0.7206  8 Pr 3.48-3.73, 4 Y 3.71-3.78
Y  0.2793  0.8395  0.0953  7 Pr 3.38-3.68, 4 Y 3.71-3.78
Tm  0.0199  0.7276  0.7331  4 Tm 3.48-3.71, 7 Pr 3.52-3.80
Tm  0.4918  0.9204  0.5934  5 Tm 3.37-3.71, 4 Pr 3.41-3.55

***

b takes first place; second place is 44 meV per atom up.

***

a | Pr7YTm4 | PBE | optimized geometry

## Properties
Magnetic moment, Bohr magnetons per cell: 0.2

a b c (Å): 16.2314 6.0258 9.5703
angles (deg): 90.00 117.63 90.00
With the nearest neighbours (Å) after each atom.
Space group C2/m (No. 12)
Symmetry-distinct sites (fractional):
Pr  0.0000  0.0000  0.0000  2 Y 3.01, 2 Tm 3.28
Pr  0.0897  0.5000  0.4574  3 Pr 3.37-3.68, 5 Tm 3.51-3.77
Pr  0.2139  0.5000  0.8916  6 Pr 3.42-3.68, 3 Tm 3.76-3.77
Pr  0.2230  0.5000  0.2558  4 Tm 3.22-3.45, 1 Y 3.30, 2 Pr 3.42-3.50
Y  0.0000  0.5000  0.0000  4 Pr 3.01-3.30
Tm  0.0656  0.0000  0.7010  2 Pr 3.26-3.49, 2 Tm 3.43-3.52
Tm  0.1663  0.0000  0.3648  7 Pr 3.22-3.53, 1 Tm 3.52

***

b | Pr7YTm4 | PBE | optimized geometry

## Properties
Magnetic moment, Bohr magnetons per cell: 0.0

a b c (Å): 18.6778 7.1013 6.2306
angles (deg): 90.00 92.90 90.00
With the nearest neighbours (Å) after each atom.
Space group C2/m (No. 12)
Symmetry-distinct sites (fractional):
Pr  0.0000  0.0000  0.0000  2 Y 3.12
Pr  0.0330  0.5000  0.2597  3 Pr 3.30-3.40, 2 Tm 3.58
Pr  0.1899  0.0000  0.2749  5 Pr 3.56-3.86, 6 Tm 3.57-3.98, 1 Y 3.88
Pr  0.2089  0.5000  0.1949  5 Pr 3.33-3.72, 4 Tm 3.46-3.57
Y  0.0000  0.0000  0.5000  2 Pr 3.12, 4 Tm 3.42
Tm  0.1366  0.2654  0.7266  1 Tm 3.33, 1 Y 3.42, 6 Pr 3.46-3.66

***

b takes first place; second place is 76 meV per atom up.

***

a | PrY6Tm4 | PBE | optimized geometry

## Properties
Magnetic moment, Bohr magnetons per cell: 1.3

a b c (Å): 9.0679 9.0679 5.2827
angles (deg): 90.00 90.00 120.00
With the nearest neighbours (Å) after each atom.
Space group P-6m2 (No. 187)
Symmetry-distinct sites (fractional):
Pr  0.0000  0.0000  0.0000  6 Tm 4.17, 12 Y 4.18-4.57
Y  0.2060  0.4119  0.5000  4 Tm 3.23-3.31, 2 Y 3.46
Y  0.5351  0.0702  0.0000  5 Tm 3.17-3.33
Tm  0.3333  0.6667  0.0000  9 Y 3.17-3.31
Tm  0.4115  0.2058  0.5000  6 Y 3.23-3.33, 2 Tm 3.47

***

b | PrY6Tm4 | PBE | optimized geometry

## Properties
Magnetic moment, Bohr magnetons per cell: 0.0

a b c (Å): 5.6530 9.7312 25.7376
angles (deg): 90.00 90.00 90.00
With the nearest neighbours (Å) after each atom.
Space group Cmcm (No. 63)
Symmetry-distinct sites (fractional):
Pr  0.0000  0.1727  0.2500  3 Y 3.25-3.26
Y  0.0000  0.1602  0.6799  4 Tm 3.56-3.60, 7 Y 3.61-3.85, 3 Pr 3.71-3.73
Y  0.0000  0.1722  0.1004  7 Tm 3.30-3.65
Y  0.0000  0.4936  0.7500  3 Pr 3.25-3.26, 2 Tm 3.32
Y  0.0000  0.5000  0.0000  8 Tm 3.12-3.43
Tm  0.0000  0.1646  0.5415  8 Y 3.42-3.65, 1 Tm 3.80
Tm  0.0000  0.4931  0.6210  5 Y 3.12-3.32

***

b takes first place; second place is 215 meV per atom up.

***

a | Pr4YTm7 | PBE | optimized geometry

## Properties
Magnetic moment, Bohr magnetons per cell: 0.0

a b c (Å): 7.1308 7.9788 7.9790
angles (deg): 72.64 77.33 63.60
With the nearest neighbours (Å) after each atom.
Space group P-1 (No. 2)
Symmetry-distinct sites (fractional):
Pr  0.0817  0.1699  0.3329  8 Tm 3.54-3.58, 1 Y 3.59, 3 Pr 3.59-3.62
Pr  0.3348  0.6638  0.3309  8 Tm 3.54-3.60, 3 Pr 3.57-3.62, 1 Y 3.57
Y  0.5000  0.0000  0.0000  8 Tm 3.54-3.59, 4 Pr 3.57-3.59
Tm  0.0000  0.0000  0.0000  6 Tm 3.55-3.56, 4 Pr 3.57, 2 Y 3.57
Tm  0.1670  0.3305  0.6698  1 Y 3.54, 6 Tm 3.55-3.61, 5 Pr 3.56-3.60
Tm  0.2492  0.5020  0.9987  4 Pr 3.54-3.57, 7 Tm 3.55-3.58, 1 Y 3.59
Tm  0.4152  0.8350  0.6677  6 Tm 3.55-3.60, 1 Y 3.55, 5 Pr 3.56-3.60

***

b | Pr4YTm7 | PBE | optimized geometry

## Properties
Magnetic moment, Bohr magnetons per cell: 0.7

a b c (Å): 12.1252 5.8868 12.8142
angles (deg): 90.00 118.18 90.00
With the nearest neighbours (Å) after each atom.
Space group C2/m (No. 12)
Symmetry-distinct sites (fractional):
Pr  0.1389  0.0000  0.2782  7 Tm 3.37-3.69, 2 Pr 3.63
Pr  0.2193  0.5000  0.1630  4 Tm 3.27-3.51, 2 Pr 3.63
Y  0.0000  0.5000  0.5000  4 Tm 2.94-3.16
Tm  0.0000  0.0000  0.5000  2 Y 2.94, 2 Tm 3.14
Tm  0.0696  0.5000  0.8099  4 Tm 3.29-3.62, 1 Y 3.65, 1 Pr 3.68
Tm  0.1324  0.0000  0.9937  5 Pr 3.27-3.61, 4 Tm 3.29-3.62
Tm  0.2127  0.5000  0.4235  4 Tm 3.14-3.41, 1 Y 3.16, 4 Pr 3.37-3.38

***

a takes first place; second place is 242 meV per atom up.